## Tm2MgCr (PBE-GGA)

Data for Tm2MgCr after structural relaxation.

Lattice parameters (Å, degrees): 5.121 5.121 5.121 60.00 60.00 60.00
Element x y z (fractional)
Tm: 0.250 0.250 0.250
Tm: 0.750 0.750 0.750
Mg: 0.000 0.000 0.000
Cr: 0.500 0.500 0.500

Output
- Formation energy: 0.13 eV/atom
- Energy above the most stable polymorph in this dataset: 0.026 eV/atom
- Symmetry: Fm-3m, No. 225
- Electronic total energy: -19.62 eV for the cell shown